No. 1
The following is a PBE-GGA calculation of a relaxed structure of Zr4Ru3Rh, from Alexandria via LeMat-Bulk.

Calculated values
Energy of formation: -15.3 kcal/mol of atoms
SG: No. 47

Geometry as extended XYZ:
```
8
Lattice="-0.326 3.247 -0.291 -4.283 -0.584 -1.713 -3.496 0.420 8.596" Properties=species:S:1:pos:R:3 pbc="T T T"
Ru -1.036 1.728 2.000
Ru -4.052 1.541 3.296
Ru -2.786 1.939 6.304
Rh -2.304 1.331 -1.002
Zr -1.748 0.210 4.298
Zr -4.755 0.022 5.571
Zr 0.000 0.000 0.000
Zr -3.023 -0.186 1.312
```

---

No. 2
The following is a PBE-GGA calculation of a relaxed structure of ZrRuRh2, from Alexandria via LeMat-Bulk.

Calculated values
Energy of formation: -9.8 kcal/mol of atoms
SG: No. 139

Geometry as extended XYZ:
```
4
Lattice="4.857 -0.005 -0.009 1.593 4.589 0.009 -3.219 -2.300 2.818" Properties=species:S:1:pos:R:3 pbc="T T T"
Rh 0.000 0.000 0.000
Rh 3.225 2.292 0.000
Ru 0.799 2.291 1.413
Zr 2.431 -0.006 1.405
```

---

No. 3
The following is a PBE-GGA calculation of a relaxed structure of ZrRuRh2, from Alexandria via LeMat-Bulk.

Calculated values
Energy of formation: -4.3 kcal/mol of atoms
SG: No. 216

Geometry as extended XYZ:
```
4
Lattice="-1.218 3.155 2.966 1.211 -0.382 4.315 3.088 2.779 1.723" Properties=species:S:1:pos:R:3 pbc="T T T"
Rh 0.000 0.000 0.000
Rh 2.311 4.164 6.753
Ru 1.541 2.776 4.502
Zr 0.770 1.388 2.251
```

---

No. 4
The following is a PBE-GGA calculation of a relaxed structure of ZrRuRh3, from Alexandria via LeMat-Bulk.

Calculated values
ΔE to the lowest computed polymorph: 431 meV per atom
Energy of formation: 30.8 kcal/mol of atoms
SG: No. 221

Geometry as extended XYZ:
```
5
Lattice="4.733 0.000 0.000 0.000 4.733 0.000 0.000 0.000 4.733" Properties=species:S:1:pos:R:3 pbc="T T T"
Ru 2.367 2.367 2.367
Rh 0.000 2.367 0.000
Rh 0.000 0.000 2.367
Rh 2.367 0.000 0.000
Zr 0.000 0.000 0.000
```

---

No. 5
The following is a PBE-GGA calculation of a relaxed structure of Zr2RuRh, from Alexandria via LeMat-Bulk.

Calculated values
Energy of formation: -9.9 kcal/mol of atoms
SG: No. 25

Geometry as extended XYZ:
```
4
Lattice="3.204 0.000 0.000 0.000 4.289 0.000 0.000 0.000 5.448" Properties=species:S:1:pos:R:3 pbc="T T T"
Rh 0.000 0.000 2.398
Ru 1.602 2.145 4.463
Zr 0.000 0.000 5.097
Zr 1.602 2.145 1.663
```

---

No. 6
The following is a PBE-GGA calculation of a relaxed structure of Rh3S4, from Alexandria via LeMat-Bulk.

Calculated values
SG: No. 12
E_form (uncorrected): -3.4 eV/f.u.

Geometry as extended XYZ:
```
21
Lattice="7.552 0.003 0.003 -0.290 7.546 0.003 1.348 1.402 6.004" Properties=species:S:1:pos:R:3 pbc="T T T"
Rh 0.972 6.332 0.003
Rh 6.290 1.217 0.003
Rh 0.674 0.701 3.002
Rh 3.818 3.970 5.693
Rh 4.791 4.981 0.318
Rh 6.386 4.343 2.709
Rh 4.518 2.401 3.301
Rh 2.224 4.608 3.301
Rh 4.092 6.550 2.709
S 6.493 3.469 0.609
S 5.396 2.328 5.402
S 2.116 5.482 5.402
S 3.214 6.623 0.609
S 1.002 1.042 0.671
S 7.608 7.910 5.340
S 0.560 5.944 2.319
S 2.692 8.160 3.691
S 8.049 3.007 3.691
S 5.222 5.429 4.366
S 3.388 3.522 1.644
S 5.917 0.791 2.319
```

---

No. 7
The following is a PBE-GGA calculation of a relaxed structure of RhS, from Alexandria via LeMat-Bulk.

Calculated values
SG: No. 70
E_form (uncorrected): -0.5 eV/f.u.

Geometry as extended XYZ:
```
32
Lattice="7.828 0.000 0.000 0.000 11.210 0.000 0.000 0.000 7.451" Properties=species:S:1:pos:R:3 pbc="T T T"
Rh 0.000 6.984 0.000
Rh 0.000 4.226 0.000
Rh 1.957 1.424 1.863
Rh 1.957 4.181 1.863
Rh 0.000 1.379 3.725
Rh 0.000 9.831 3.725
Rh 1.957 7.029 5.588
Rh 1.957 9.787 5.588
Rh 3.914 6.984 3.725
Rh 3.914 4.226 3.725
Rh 5.871 1.424 5.588
Rh 5.871 4.181 5.588
Rh 3.914 1.379 0.000
Rh 3.914 9.831 0.000
Rh 5.871 7.029 1.863
Rh 5.871 9.787 1.863
S 5.772 0.000 0.000
S 2.057 0.000 0.000
S 4.014 8.408 1.863
S 7.729 8.408 1.863
S 5.772 5.605 3.725
S 2.057 5.605 3.725
S 4.014 2.803 5.588
S 7.729 2.803 5.588
S 1.858 0.000 3.725
S 5.971 0.000 3.725
S 0.100 8.408 5.588
S 3.815 8.408 5.588
S 1.858 5.605 0.000
S 5.971 5.605 0.000
S 0.100 2.803 1.863
S 3.815 2.803 1.863
```

---

No. 8
The following is a PBE-GGA calculation of a relaxed structure of RhS, from Alexandria via LeMat-Bulk.

Calculated values
SG: No. 186
E_form (uncorrected): -0.5 eV/f.u.

Geometry as extended XYZ:
```
4
Lattice="-2.965 -0.730 1.385 1.800 -2.413 -1.476 3.293 -1.403 6.308" Properties=species:S:1:pos:R:3 pbc="T T T"
Rh 2.554 -2.850 3.964
Rh -0.680 -1.588 1.764
S 1.432 -2.372 1.815
S 1.490 -2.512 5.923
```

---

No. 9
The following is a PBE-GGA calculation of a relaxed structure of RhS, from Alexandria via LeMat-Bulk.

Calculated values
SG: No. 31
E_form (uncorrected): -0.7 eV/f.u.

Geometry as extended XYZ:
```
12
Lattice="11.327 0.000 0.000 0.000 3.939 0.000 0.000 0.000 4.557" Properties=species:S:1:pos:R:3 pbc="T T T"
Rh 9.122 0.596 1.219
Rh 7.868 3.344 3.498
Rh 2.205 0.596 1.219
Rh 3.459 3.344 3.498
Rh 0.000 1.506 2.572
Rh 5.664 2.434 0.294
S 9.282 1.369 3.593
S 7.709 2.570 1.314
S 2.045 1.369 3.593
S 3.618 2.570 1.314
S 0.000 3.505 1.485
S 5.664 0.434 3.764
```

---

No. 10
The following is a PBE-GGA calculation of a relaxed structure of RhS, from Alexandria via LeMat-Bulk.

Calculated values
SG: No. 216
E_form (uncorrected): -0.5 eV/f.u.

Geometry as extended XYZ:
```
8
Lattice="5.281 0.000 0.000 0.000 5.281 0.000 0.000 0.000 5.281" Properties=species:S:1:pos:R:3 pbc="T T T"
Rh 0.000 0.000 0.000
Rh 0.000 2.640 2.640
Rh 2.640 0.000 2.640
Rh 2.640 2.640 0.000
S 1.320 1.320 1.320
S 1.320 3.960 3.960
S 3.960 1.320 3.960
S 3.960 3.960 1.320
```

---

No. 11
The following is a PBE-GGA calculation of a relaxed structure of RhS4, from Alexandria via LeMat-Bulk.

Calculated values
ΔE to the lowest computed polymorph: 1008 meV per atom
SG: No. 221
E_form (uncorrected): 4.0 eV/f.u.

Geometry as extended XYZ:
```
5
Lattice="-4.293 -0.942 1.383 1.343 -4.212 1.298 0.999 1.612 4.199" Properties=species:S:1:pos:R:3 pbc="T T T"
S 0.000 0.000 0.000
S -1.647 0.335 2.791
S 1.171 -1.300 2.748
S -1.475 -2.577 1.341
Rh -0.976 -1.771 3.440
```

---

No. 12
The following is a PBE-GGA calculation of a relaxed structure of RhS2, from Alexandria via LeMat-Bulk.

Calculated values
SG: No. 205
E_form (uncorrected): -1.1 eV/f.u.

Geometry as extended XYZ:
```
12
Lattice="5.761 0.000 0.000 0.000 5.761 0.000 0.000 0.000 5.761" Properties=species:S:1:pos:R:3 pbc="T T T"
S 3.510 3.510 3.510
S 3.510 0.629 5.132
S 0.629 2.251 5.132
S 5.132 0.629 2.251
S 2.252 5.132 0.629
S 5.132 3.510 0.629
S 0.629 5.132 3.510
S 2.252 2.251 2.251
Rh 0.000 2.881 2.881
Rh 0.000 0.000 0.000
Rh 2.881 0.000 2.881
Rh 2.881 2.881 0.000
```